This record from Alexandria describes a relaxed structure of Tl12In6Hg. The functional is PBE.

Summary:
Polymorph energy (0 for the lowest one): 6 meV/atom
Total magnetization: 0.00 μB per atom
ΔH_f (0 K): 34.1 meV per atom

Lattice parameters (Å, degrees): 8.3242 8.3242 8.3242 89.35 89.35 89.35
Closest atoms and distances in Å follow each position.
Fractional coordinates of all 19 atoms:
Tl: 0.0134 0.3126 0.9226  4 In 3.38-3.48, 5 Tl 3.39-3.66
Tl: 0.0774 0.9866 0.6874  4 In 3.38-3.48, 5 Tl 3.39-3.66
Tl: 0.1177 0.3522 0.4415  5 Tl 3.28-3.66, 5 In 3.45-3.63, 1 Hg 3.47
Tl: 0.3126 0.9226 0.0134  4 In 3.38-3.48, 5 Tl 3.39-3.66
Tl: 0.3522 0.4415 0.1177  5 Tl 3.28-3.66, 5 In 3.45-3.63, 1 Hg 3.47
Tl: 0.4415 0.1177 0.3522  5 Tl 3.28-3.66, 5 In 3.45-3.63, 1 Hg 3.47
Tl: 0.5585 0.8823 0.6478  5 Tl 3.28-3.66, 5 In 3.45-3.63, 1 Hg 3.47
Tl: 0.6478 0.5585 0.8823  5 Tl 3.28-3.66, 5 In 3.45-3.63, 1 Hg 3.47
Tl: 0.6874 0.0774 0.9866  4 In 3.38-3.48, 5 Tl 3.39-3.66
Tl: 0.8823 0.6478 0.5585  5 Tl 3.28-3.66, 5 In 3.45-3.63, 1 Hg 3.47
Tl: 0.9226 0.0134 0.3126  4 In 3.38-3.48, 5 Tl 3.39-3.66
Tl: 0.9866 0.6874 0.0774  4 In 3.38-3.48, 5 Tl 3.39-3.66
In: 0.2434 0.6197 0.7561  1 Hg 3.16, 2 In 3.32, 7 Tl 3.38-3.54
In: 0.2439 0.7566 0.3803  1 Hg 3.16, 2 In 3.32, 7 Tl 3.38-3.54
In: 0.3803 0.2439 0.7566  1 Hg 3.16, 2 In 3.32, 7 Tl 3.38-3.54
In: 0.6197 0.7561 0.2434  1 Hg 3.16, 2 In 3.32, 7 Tl 3.38-3.54
In: 0.7561 0.2434 0.6197  1 Hg 3.16, 2 In 3.32, 7 Tl 3.38-3.54
In: 0.7566 0.3803 0.2439  1 Hg 3.16, 2 In 3.32, 7 Tl 3.38-3.54
Hg: 0.5000 0.5000 0.5000  6 In 3.16, 6 Tl 3.47